Computed, not measured: an optimized crystal structure of SrLa2Zr at the GGA-PBEsol level of DFT.

```
SrLa2Zr
1.0
4.7964 0.0000 0.0000
0.0000 5.1701 0.0000
0.0000 0.0000 5.1701
Sr La Zr
1 2 1
Direct
0.5000 0.5000 0.5000
0.0000 0.0000 0.5000
0.0000 0.5000 0.0000
0.5000 0.0000 0.0000
```

- VASP energy (eV per atom) = -5.057
- D(E_F) (states/eV/f.u.) = 5.97
- DFT formation energy (eV/atom) = 0.35
- magnetic moment (μB/cell) = 0.002
- E above lowest polymorph (meV per atom) = 174

Computed, not measured: an optimized crystal structure of SrLa2Zr at the GGA-PBEsol level of DFT.

```
SrLa2Zr
1.0
-2.2585 2.7125 0.2235
-2.6817 -2.1681 -0.7851
-1.4010 -2.0205 10.3647
La Sr Zr
2 1 1
Direct
0.0000 0.0000 0.7099
0.0000 0.0000 0.2901
0.5000 0.5000 0.0000
0.5000 0.5000 0.5000
```

- VASP energy (eV per atom) = -5.231
- D(E_F) (states/eV/f.u.) = 4.94
- DFT formation energy (eV/atom) = 0.17
- magnetic moment (μB/cell) = 0.000
- E above lowest polymorph (meV per atom) = 0

Computed, not measured: an optimized crystal structure of LaTa2 at the GGA-PBEsol level of DFT.

```
LaTa2
1.0
3.0663 0.0000 0.0000
0.0000 5.0178 0.0000
0.0000 -2.5089 4.3455
Ta La
2 1
Direct
0.5000 0.6667 0.3333
0.5000 0.3333 0.6667
0.0000 0.0000 0.0000
```

- VASP energy (eV per atom) = -9.467
- D(E_F) (states/eV/f.u.) = 3.46
- DFT formation energy (eV/atom) = 0.68
- magnetic moment (μB/cell) = 0.000
- E above lowest polymorph (meV per atom) = 160

Computed, not measured: an optimized crystal structure of La5Ta at the GGA-PBEsol level of DFT.

```
La5Ta
1.0
-1.2552 4.4308 -2.9739
1.6107 -2.9838 -5.1254
-5.7948 -0.2811 2.0269
La Ta
5 1
Direct
0.0000 0.2935 0.2935
0.5000 0.3333 0.6667
0.0000 0.7065 0.0000
0.5000 0.6667 0.3333
0.0000 0.0000 0.7065
0.5000 0.0000 0.0000
```

- VASP energy (eV per atom) = -6.259
- D(E_F) (states/eV/f.u.) = 10.40
- DFT formation energy (eV/atom) = 0.29
- magnetic moment (μB/cell) = 0.001

Please write out number 2 again, unchanged.
Computed, not measured: an optimized crystal structure of SrLa2Zr at the GGA-PBEsol level of DFT.

```
SrLa2Zr
1.0
-2.2585 2.7125 0.2235
-2.6817 -2.1681 -0.7851
-1.4010 -2.0205 10.3647
La Sr Zr
2 1 1
Direct
0.0000 0.0000 0.7099
0.0000 0.0000 0.2901
0.5000 0.5000 0.0000
0.5000 0.5000 0.5000
```

- VASP energy (eV per atom) = -5.231
- D(E_F) (states/eV/f.u.) = 4.94
- DFT formation energy (eV/atom) = 0.17
- magnetic moment (μB/cell) = 0.000
- E above lowest polymorph (meV per atom) = 0

> magnetic moment of number 2 (SrLa2Zr)?

0.000 μB/cell

Please write out number 1 again, unchanged.
Computed, not measured: an optimized crystal structure of SrLa2Zr at the GGA-PBEsol level of DFT.

```
SrLa2Zr
1.0
4.7964 0.0000 0.0000
0.0000 5.1701 0.0000
0.0000 0.0000 5.1701
Sr La Zr
1 2 1
Direct
0.5000 0.5000 0.5000
0.0000 0.0000 0.5000
0.0000 0.5000 0.0000
0.5000 0.0000 0.0000
```

- VASP energy (eV per atom) = -5.057
- D(E_F) (states/eV/f.u.) = 5.97
- DFT formation energy (eV/atom) = 0.35
- magnetic moment (μB/cell) = 0.002
- E above lowest polymorph (meV per atom) = 174